*a*
DFT (PBE) results for SmThTe4 after structural relaxation.

Geometry as CIF:
```
data_SmThTe4
_cell_length_a 7.616
_cell_length_b 7.655
_cell_length_c 7.732
_cell_angle_alpha 90.00
_cell_angle_beta 92.10
_cell_angle_gamma 90.00
_space_group_name_H-M_alt 'P 1 21/c 1'
_space_group_IT_number 14
_space_group_name_Hall '-P 2ybc'
loop_
_atom_site_label
_atom_site_type_symbol
_atom_site_fract_x
_atom_site_fract_y
_atom_site_fract_z
Sm1 Sm 0.000 0.000 0.000
Th1 Th 0.500 0.000 0.500
Te1 Te 0.130 0.130 0.630
Te2 Te 0.358 0.647 0.649
```


*b*
DFT (PBE) results for SmThTe4 after structural relaxation.

Geometry as CIF:
```
data_SmThTe4
_cell_length_a 10.217
_cell_length_b 13.262
_cell_length_c 7.655
_cell_angle_alpha 90.00
_cell_angle_beta 128.28
_cell_angle_gamma 90.00
_space_group_name_H-M_alt 'C 1 2/c 1'
_space_group_IT_number 15
_space_group_name_Hall '-C 2yc'
loop_
_atom_site_label
_atom_site_type_symbol
_atom_site_fract_x
_atom_site_fract_y
_atom_site_fract_z
Sm1 Sm 0.000 0.007 0.250
Th1 Th 0.000 0.368 0.750
Te1 Te 0.139 0.182 0.108
Te2 Te 0.196 0.436 0.258
```


Tell me which of them is the least stable. Sure, it is *a*.


*a*
DFT (PBE) results for Sm5Tl2Te after structural relaxation.

Geometry as CIF:
```
data_Sm5Tl2Te
_cell_length_a 8.629
_cell_length_b 12.668
_cell_length_c 4.618
_cell_angle_alpha 90.00
_cell_angle_beta 90.00
_cell_angle_gamma 90.00
_space_group_name_H-M_alt 'P b a m'
_space_group_IT_number 55
_space_group_name_Hall '-P 2 2ab'
loop_
_atom_site_label
_atom_site_type_symbol
_atom_site_fract_x
_atom_site_fract_y
_atom_site_fract_z
Sm1 Sm 0.000 0.000 0.000
Sm2 Sm 0.161 0.284 0.000
Sm3 Sm 0.211 0.576 0.500
Tl1 Tl 0.072 0.823 0.500
Te1 Te 0.000 0.500 0.000
```


*b*
DFT (PBE) results for Sm5Tl2Te after structural relaxation.

Geometry as CIF:
```
data_Sm5Tl2Te
_cell_length_a 6.034
_cell_length_b 9.853
_cell_length_c 17.195
_cell_angle_alpha 90.00
_cell_angle_beta 90.00
_cell_angle_gamma 90.00
_space_group_name_H-M_alt 'C m c m'
_space_group_IT_number 63
_space_group_name_Hall '-C 2c 2'
loop_
_atom_site_label
_atom_site_type_symbol
_atom_site_fract_x
_atom_site_fract_y
_atom_site_fract_z
Sm1 Sm 0.000 0.077 0.093
Sm2 Sm 0.000 0.229 0.750
Sm3 Sm 0.000 0.422 0.101
Tl1 Tl 0.000 0.253 0.569
Te1 Te 0.000 0.234 0.250
```


Tell me which of them is the least stable. Sure, it is *b*.


*a*
DFT (PBE) results for Sm3TlTe after structural relaxation.

Geometry as CIF:
```
data_Sm3TlTe
_cell_length_a 8.312
_cell_length_b 4.569
_cell_length_c 16.627
_cell_angle_alpha 90.00
_cell_angle_beta 90.00
_cell_angle_gamma 90.00
_space_group_name_H-M_alt 'P n m a'
_space_group_IT_number 62
_space_group_name_Hall '-P 2ac 2n'
loop_
_atom_site_label
_atom_site_type_symbol
_atom_site_fract_x
_atom_site_fract_y
_atom_site_fract_z
Sm1 Sm 0.013 0.250 0.110
Sm2 Sm 0.131 0.250 0.556
Sm3 Sm 0.187 0.750 0.264
Tl1 Tl 0.083 0.750 0.693
Te1 Te 0.220 0.250 0.949
```


*b*
DFT (PBE) results for Sm3TlTe after structural relaxation.

Geometry as CIF:
```
data_Sm3TlTe
_cell_length_a 8.629
_cell_length_b 4.100
_cell_length_c 9.145
_cell_angle_alpha 90.00
_cell_angle_beta 107.12
_cell_angle_gamma 90.00
_space_group_name_H-M_alt 'P 1 21/m 1'
_space_group_IT_number 11
_space_group_name_Hall '-P 2yb'
loop_
_atom_site_label
_atom_site_type_symbol
_atom_site_fract_x
_atom_site_fract_y
_atom_site_fract_z
Sm1 Sm 0.099 0.250 0.220
Sm2 Sm 0.322 0.250 0.947
Sm3 Sm 0.351 0.750 0.573
Tl1 Tl 0.081 0.250 0.619
Te1 Te 0.390 0.750 0.230
```


Tell me which of them is the least stable. Sure, it is *b*.


*a*
DFT (PBE) results for Sm5TlTe4 after structural relaxation.

Geometry as CIF:
```
data_Sm5TlTe4
_cell_length_a 9.980
_cell_length_b 9.980
_cell_length_c 6.293
_cell_angle_alpha 90.00
_cell_angle_beta 90.00
_cell_angle_gamma 90.00
_space_group_name_H-M_alt 'I 4/m'
_space_group_IT_number 87
_space_group_name_Hall '-I 4'
loop_
_atom_site_label
_atom_site_type_symbol
_atom_site_fract_x
_atom_site_fract_y
_atom_site_fract_z
Sm1 Sm 0.000 0.000 0.000
Sm2 Sm 0.098 0.295 0.500
Tl1 Tl 0.000 0.000 0.500
Te1 Te 0.098 0.301 0.000
```


*b*
DFT (PBE) results for Sm5TlTe4 after structural relaxation.

Geometry as CIF:
```
data_Sm5TlTe4
_cell_length_a 4.451
_cell_length_b 4.451
_cell_length_c 31.612
_cell_angle_alpha 90.00
_cell_angle_beta 90.00
_cell_angle_gamma 90.00
_space_group_name_H-M_alt 'I 4/m m m'
_space_group_IT_number 139
_space_group_name_Hall '-I 4 2'
loop_
_atom_site_label
_atom_site_type_symbol
_atom_site_fract_x
_atom_site_fract_y
_atom_site_fract_z
Sm1 Sm 0.000 0.000 0.000
Sm2 Sm 0.000 0.000 0.202
Sm3 Sm 0.000 0.000 0.402
Tl1 Tl 0.000 0.000 0.500
Te1 Te 0.000 0.000 0.102
Te2 Te 0.000 0.000 0.302
```


Tell me which of them is the least stable. Sure, it is *b*.


*a*
DFT (PBE) results for Sm3TmTe6 after structural relaxation.

Geometry as CIF:
```
data_Sm3TmTe6
_cell_length_a 7.391
_cell_length_b 8.193
_cell_length_c 13.326
_cell_angle_alpha 90.00
_cell_angle_beta 122.69
_cell_angle_gamma 90.00
_space_group_name_H-M_alt 'P 1 21/c 1'
_space_group_IT_number 14
_space_group_name_Hall '-P 2ybc'
loop_
_atom_site_label
_atom_site_type_symbol
_atom_site_fract_x
_atom_site_fract_y
_atom_site_fract_z
Sm1 Sm 0.000 0.000 0.000
Sm2 Sm 0.306 0.120 0.754
Tm1 Tm 0.500 0.000 0.500
Te1 Te 0.091 0.052 0.255
Te2 Te 0.246 0.673 0.081
Te3 Te 0.420 0.179 0.078
```


*b*
DFT (PBE) results for Sm3TmTe6 after structural relaxation.

Geometry as CIF:
```
data_Sm3TmTe6
_cell_length_a 7.7972
_cell_length_b 7.7972
_cell_length_c 21.2636
_cell_angle_alpha 90.00
_cell_angle_beta 90.00
_cell_angle_gamma 120.00
_space_group_name_H-M_alt 'R 3'
_space_group_IT_number 146
_space_group_name_Hall 'R 3'
loop_
_atom_site_label
_atom_site_type_symbol
_atom_site_fract_x
_atom_site_fract_y
_atom_site_fract_z
Sm1 Sm 0.0000 0.0000 0.0000
Sm2 Sm 0.0000 0.0000 0.1883
Sm3 Sm 0.0000 0.0000 0.6895
Tm1 Tm 0.0000 0.0000 0.5015
Te1 Te 0.0048 0.6951 0.5919
Te2 Te 0.0122 0.3215 0.0938
```


Tell me which of them is the least stable. Sure, it is *b*.


*a*
DFT (PBE) results for SmTm2Te after structural relaxation.

Geometry as CIF:
```
data_SmTm2Te
_cell_length_a 3.7649
_cell_length_b 3.7649
_cell_length_c 32.5544
_cell_angle_alpha 90.00
_cell_angle_beta 90.00
_cell_angle_gamma 120.00
_space_group_name_H-M_alt 'R -3 m'
_space_group_IT_number 166
_space_group_name_Hall '-R 3 2"'
loop_
_atom_site_label
_atom_site_type_symbol
_atom_site_fract_x
_atom_site_fract_y
_atom_site_fract_z
Sm1 Sm 0.0000 0.0000 0.0000
Tm1 Tm 0.0000 0.0000 0.1031
Te1 Te 0.0000 0.0000 0.5000
```


*b*
DFT (PBE) results for SmTm2Te after structural relaxation.

Geometry as CIF:
```
data_SmTm2Te
_cell_length_a 3.828
_cell_length_b 3.828
_cell_length_c 7.978
_cell_angle_alpha 90.00
_cell_angle_beta 90.00
_cell_angle_gamma 90.00
_space_group_name_H-M_alt 'P 4/m m m'
_space_group_IT_number 123
_space_group_name_Hall '-P 4 2'
loop_
_atom_site_label
_atom_site_type_symbol
_atom_site_fract_x
_atom_site_fract_y
_atom_site_fract_z
Sm1 Sm 0.000 0.000 0.000
Tm1 Tm 0.500 0.500 0.278
Te1 Te 0.000 0.000 0.500
```


Tell me which of them is the least stable. Sure, it is *a*.